Here is crystalline Er2Zn at its relaxed geometry from the Open Quantum Materials Database. Energies are from PBE.

The space group is Fm-3m (No. 225) and the conventional cell measures 6.9039, 6.9039 and 6.9039 Å, with angles of 90.00, 90.00 and 90.00 degrees. The inequivalent atoms are Er at (0.2500, 0.2500, 0.2500) and Zn at (0.0000, 0.0000, 0.0000).

The value obtained for the total magnetic moment is 0.003 μB/atom. The final energy is -3.4502 eV/atom.

Here is crystalline RbPr2 at its relaxed geometry from the Open Quantum Materials Database. Energies are from PBE.

The space group is Fd-3m (No. 227, origin choice 2) and the conventional cell measures 13.9267, 13.9267 and 13.9267 Å, with angles of 90.00, 90.00 and 90.00 degrees. The inequivalent atoms are Rb at (0.1250, 0.1250, 0.1250) and Pr at (0.0000, 0.0000, 0.0000).

The value obtained for the total magnetic moment is 2.354 μB/atom. The final energy is -0.5065 eV/atom.

Here is crystalline ZrCoHg at its relaxed geometry from the Open Quantum Materials Database. Energies are from PBE.

The space group is F-43m (No. 216) and the conventional cell measures 6.3679, 6.3679 and 6.3679 Å, with angles of 90.00, 90.00 and 90.00 degrees. The inequivalent atoms are Zr at (0.0000, 0.0000, 0.0000), Co at (0.2500, 0.2500, 0.7500) and Hg at (0.2500, 0.2500, 0.2500).

The value obtained for the total magnetic moment is 0.263 μB/atom. The final energy is -4.7653 eV/atom.

Here is crystalline Mg2TaCo at its relaxed geometry from the Open Quantum Materials Database. Energies are from PBE.

The space group is F-43m (No. 216) and the conventional cell measures 6.3250, 6.3250 and 6.3250 Å, with angles of 90.00, 90.00 and 90.00 degrees. The inequivalent atoms are Mg at (0.0000, 0.0000, 0.0000), Mg at (0.2500, 0.2500, 0.2500), Ta at (0.0000, 0.0000, 0.5000) and Co at (0.2500, 0.2500, 0.7500).

The value obtained for the total magnetic moment is 0.000 μB/atom. The final energy is -5.3323 eV/atom.

Here is crystalline NaHoPt4 at its relaxed geometry from the Open Quantum Materials Database. Energies are from PBE.

The space group is F-43m (No. 216) and the conventional cell measures 7.6169, 7.6169 and 7.6169 Å, with angles of 90.00, 90.00 and 90.00 degrees. The inequivalent atoms are Na at (0.0000, 0.0000, 0.0000), Ho at (0.2500, 0.2500, 0.2500) and Pt at (0.1252, 0.1252, 0.6252).

The value obtained for the total magnetic moment is 0.001 μB/atom. The final energy is -5.8326 eV/atom.

Here is crystalline HoTm2FeSn3Ir2 at its relaxed geometry from the Open Quantum Materials Database. Energies are from PBE.

The space group is Amm2 (No. 38) and the conventional cell measures 3.7150, 13.1336 and 7.5626 Å, with angles of 90.00, 90.00 and 90.00 degrees. The inequivalent atoms are Ho at (0.0000, 0.0000, 0.0000), Tm at (0.0000, 0.2032, 0.6100), Fe at (0.0000, 0.0000, 0.4076), Sn at (0.5000, 0.0000, 0.6636), Sn at (0.5000, 0.1290, 0.2787) and Ir at (0.5000, 0.1679, 0.9062).

The value obtained for the total magnetic moment is 0.181 μB/atom. The final energy is -6.4261 eV/atom.

Here is crystalline PmTaN2O at its relaxed geometry from the Open Quantum Materials Database. Energies are from PBE.

The space group is Pmc2_1 (No. 26) and the conventional cell measures 3.7735, 6.1387 and 5.8031 Å, with angles of 90.00, 90.00 and 90.00 degrees. The inequivalent atoms are Pm at (0.0000, 0.1665, 0.0000), Ta at (0.5000, 0.3147, 0.5354), N at (0.0000, 0.2171, 0.5895), N at (0.5000, 0.4117, 0.8803) and O at (0.5000, 0.0889, 0.2762).

The value obtained for the total magnetic moment is 0.000 μB/atom. The final energy is -9.5555 eV/atom.

Here is crystalline Ho3Pd4Pb at its relaxed geometry from the Open Quantum Materials Database. Energies are from PBE.

The space group is Pm (No. 6) and the conventional cell measures 5.5533, 4.4905 and 6.9308 Å, with angles of 90.00, 91.88 and 90.00 degrees. The inequivalent atoms are Ho at (0.0000, 0.0000, 0.0000), Ho at (0.2312, 0.0000, 0.5058), Ho at (0.7267, 0.5000, 0.3616), Pd at (0.0216, 0.5000, 0.7241), Pd at (0.2072, 0.5000, 0.2248), Pd at (0.5141, 0.0000, 0.1463), Pd at (0.7244, 0.0000, 0.6303) and Pb at (0.5134, 0.5000, 0.8617).

The value obtained for the total magnetic moment is 0.001 μB/atom. The final energy is -5.5671 eV/atom.